## 1
First-principles (PBE-GGA) data for a relaxed TaFeCl3 crystal, as listed in Alexandria.

- density of states at the Fermi level (states/eV per atom) = 1.986

Lattice parameters (Å, degrees): 4.471 4.471 4.471 90.00 90.00 90.00
Space group Pm-3m (No. 221)
One atom of each set of equivalent atoms:
Ta 0.000 0.000 0.000 [1 per cell]
Fe 0.500 0.500 0.500 [1 per cell]
Cl 0.000 0.500 0.500 [3 per cell]

***

## 2
First-principles (PBE-GGA) data for a relaxed TaFeCl3 crystal, as listed in Alexandria.

- density of states at the Fermi level (states/eV per atom) = 1.351

Lattice parameters (Å, degrees): 4.889 4.889 4.889 90.00 90.00 90.00
Space group Pm-3m (No. 221)
One atom of each set of equivalent atoms:
Ta 0.000 0.000 0.000 [1 per cell]
Fe 0.500 0.500 0.500 [1 per cell]
Cl 0.000 0.000 0.500 [3 per cell]

***

In terms of stability, 2 leads; the second structure lies 0.598 eV/atom higher.